# TaInAs2 PBE-GGA relaxed
# Volume (Å³/cell): 316.6
# DFT total energy (eV per atom): -5.378
# ΔH_f (0 K) (eV/atom): 0.595
# Calculated density (g cm⁻³): 9.3
# Total magnetization (μB per formula unit): 0.01
data_TaInAs2
_chemical_formula_sum 'Ta4 In4 As8'
_cell_length_a 6.8154
_cell_length_b 6.8154
_cell_length_c 6.8154
_cell_angle_alpha 90.00
_cell_angle_beta 90.00
_cell_angle_gamma 90.00
_space_group_name_H-M_alt 'F -4 3 m'
_space_group_IT_number 216
_space_group_name_Hall 'F -4 2 3'
loop_
_atom_site_label
_atom_site_type_symbol
_atom_site_fract_x
_atom_site_fract_y
_atom_site_fract_z
Ta1 Ta 0.0000 0.0000 0.0000
In1 In 0.2500 0.2500 0.2500
As1 As 0.0000 0.0000 0.5000
As2 As 0.2500 0.2500 0.7500

***

# TaInAs2 PBE-GGA relaxed
# Volume (Å³/cell): 75.5
# DFT total energy (eV per atom): -5.698
# ΔH_f (0 K) (eV/atom): 0.275
# Calculated density (g cm⁻³): 9.8
# Total magnetization (μB per formula unit): 0.00
data_TaInAs2
_chemical_formula_sum 'Ta1 In1 As2'
_cell_length_a 4.7031
_cell_length_b 4.7031
_cell_length_c 3.4121
_cell_angle_alpha 90.00
_cell_angle_beta 90.00
_cell_angle_gamma 90.00
_space_group_name_H-M_alt 'P 4/m m m'
_space_group_IT_number 123
_space_group_name_Hall '-P 4 2'
loop_
_atom_site_label
_atom_site_type_symbol
_atom_site_fract_x
_atom_site_fract_y
_atom_site_fract_z
Ta1 Ta 0.0000 0.0000 0.0000
In1 In 0.5000 0.5000 0.0000
As1 As 0.0000 0.5000 0.5000

***

# Ta4InAs PBE-GGA relaxed
# Volume (Å³/cell): 482.0
# DFT total energy (eV per atom): -8.663
# ΔH_f (0 K) (eV/atom): 0.470
# Calculated density (g cm⁻³): 12.6
# Total magnetization (μB per formula unit): 0.00
data_Ta4InAs
_chemical_formula_sum 'Ta16 In4 As4'
_cell_length_a 7.8407
_cell_length_b 7.8407
_cell_length_c 7.8407
_cell_angle_alpha 90.00
_cell_angle_beta 90.00
_cell_angle_gamma 90.00
_space_group_name_H-M_alt 'F -4 3 m'
_space_group_IT_number 216
_space_group_name_Hall 'F -4 2 3'
loop_
_atom_site_label
_atom_site_type_symbol
_atom_site_fract_x
_atom_site_fract_y
_atom_site_fract_z
Ta1 Ta 0.1240 0.1240 0.3760
In1 In 0.2500 0.2500 0.7500
As1 As 0.0000 0.0000 0.0000

***

# TaInAs2 PBE-GGA relaxed
# Volume (Å³/cell): 152.1
# DFT total energy (eV per atom): -5.714
# ΔH_f (0 K) (eV/atom): 0.258
# Calculated density (g cm⁻³): 9.7
# Total magnetization (μB per formula unit): 0.00
data_TaInAs2
_chemical_formula_sum 'Ta2 In2 As4'
_cell_length_a 6.0687
_cell_length_b 7.2702
_cell_length_c 3.4470
_cell_angle_alpha 90.00
_cell_angle_beta 90.00
_cell_angle_gamma 90.00
_space_group_name_H-M_alt 'C m m m'
_space_group_IT_number 65
_space_group_name_Hall '-C 2 2'
loop_
_atom_site_label
_atom_site_type_symbol
_atom_site_fract_x
_atom_site_fract_y
_atom_site_fract_z
Ta1 Ta 0.0000 0.0000 0.0000
In1 In 0.0000 0.5000 0.0000
As1 As 0.2500 0.2500 0.5000

***

# TaInAs PBE-GGA relaxed
# Volume (Å³/cell): 254.2
# DFT total energy (eV per atom): -6.267
# ΔH_f (0 K) (eV/atom): 0.147
# Calculated density (g cm⁻³): 9.7
# Excess energy over the best structure of this formula in the dataset (eV per atom): 0.253
# Total magnetization (μB per formula unit): 0.00
data_TaInAs
_chemical_formula_sum 'Ta4 In4 As4'
_cell_length_a 3.6860
_cell_length_b 4.8340
_cell_length_c 14.2675
_cell_angle_alpha 90.00
_cell_angle_beta 90.00
_cell_angle_gamma 90.00
_space_group_name_H-M_alt 'F m m 2'
_space_group_IT_number 42
_space_group_name_Hall 'F 2 -2'
loop_
_atom_site_label
_atom_site_type_symbol
_atom_site_fract_x
_atom_site_fract_y
_atom_site_fract_z
Ta1 Ta 0.0000 0.0000 0.0000
In1 In 0.0000 0.0000 0.3344
As1 As 0.0000 0.0000 0.6287

***

# Ta2InAs2 PBE-GGA relaxed
# Volume (Å³/cell): 187.4
# DFT total energy (eV per atom): -7.270
# ΔH_f (0 K) (eV/atom): -0.122
# Calculated density (g cm⁻³): 11.1
# Total magnetization (μB per formula unit): 0.00
data_Ta2InAs2
_chemical_formula_sum 'Ta4 In2 As4'
_cell_length_a 7.4872
_cell_length_b 7.4872
_cell_length_c 3.3426
_cell_angle_alpha 90.00
_cell_angle_beta 90.00
_cell_angle_gamma 90.00
_space_group_name_H-M_alt 'P 4/m b m'
_space_group_IT_number 127
_space_group_name_Hall '-P 4 2ab'
loop_
_atom_site_label
_atom_site_type_symbol
_atom_site_fract_x
_atom_site_fract_y
_atom_site_fract_z
Ta1 Ta 0.1418 0.3582 0.0000
In1 In 0.0000 0.0000 0.0000
As1 As 0.1450 0.6450 0.5000

***

# TaInAs3 PBE-GGA relaxed
# Volume (Å³/cell): 127.0
# DFT total energy (eV per atom): -4.159
# ΔH_f (0 K) (eV/atom): 1.549
# Calculated density (g cm⁻³): 6.8
# Excess energy over the best structure of this formula in the dataset (eV per atom): 1.369
# Total magnetization (μB per formula unit): 0.00
data_TaInAs3
_chemical_formula_sum 'Ta1 In1 As3'
_cell_length_a 5.0271
_cell_length_b 5.0271
_cell_length_c 5.0271
_cell_angle_alpha 90.00
_cell_angle_beta 90.00
_cell_angle_gamma 90.00
_space_group_name_H-M_alt 'P m -3 m'
_space_group_IT_number 221
_space_group_name_Hall '-P 4 2 3'
loop_
_atom_site_label
_atom_site_type_symbol
_atom_site_fract_x
_atom_site_fract_y
_atom_site_fract_z
Ta1 Ta 0.0000 0.0000 0.0000
In1 In 0.5000 0.5000 0.5000
As1 As 0.0000 0.5000 0.5000

***

# TaInAs PBE-GGA relaxed
# Volume (Å³/cell): 58.6
# DFT total energy (eV per atom): -6.192
# ΔH_f (0 K) (eV/atom): 0.222
# Calculated density (g cm⁻³): 10.5
# Excess energy over the best structure of this formula in the dataset (eV per atom): 0.328
# Total magnetization (μB per formula unit): 0.00
data_TaInAs
_chemical_formula_sum 'Ta1 In1 As1'
_cell_length_a 4.7212
_cell_length_b 4.7212
_cell_length_c 3.0350
_cell_angle_alpha 90.00
_cell_angle_beta 90.00
_cell_angle_gamma 120.00
_space_group_name_H-M_alt 'P -6 m 2'
_space_group_IT_number 187
_space_group_name_Hall 'P -6 2'
loop_
_atom_site_label
_atom_site_type_symbol
_atom_site_fract_x
_atom_site_fract_y
_atom_site_fract_z
Ta1 Ta 0.0000 0.0000 0.0000
In1 In 0.3333 0.6667 0.5000
As1 As 0.6667 0.3333 0.0000

***

# TaInAs2 PBE-GGA relaxed
# Volume (Å³/cell): 250.5
# DFT total energy (eV per atom): -5.744
# ΔH_f (0 K) (eV/atom): 0.228
# Calculated density (g cm⁻³): 8.9
# Total magnetization (μB per formula unit): 0.00
data_TaInAs2
_chemical_formula_sum 'Ta3 In3 As6'
_cell_length_a 3.0667
_cell_length_b 3.0667
_cell_length_c 30.7595
_cell_angle_alpha 90.00
_cell_angle_beta 90.00
_cell_angle_gamma 120.00
_space_group_name_H-M_alt 'R 3 m'
_space_group_IT_number 160
_space_group_name_Hall 'R 3 -2"'
loop_
_atom_site_label
_atom_site_type_symbol
_atom_site_fract_x
_atom_site_fract_y
_atom_site_fract_z
Ta1 Ta 0.0000 0.0000 0.0000
In1 In 0.0000 0.0000 0.2528
As1 As 0.0000 0.0000 0.5089
As2 As 0.0000 0.0000 0.7365

***

# TaInAs2 PBE-GGA relaxed
# Volume (Å³/cell): 172.4
# DFT total energy (eV per atom): -5.773
# ΔH_f (0 K) (eV/atom): 0.199
# Calculated density (g cm⁻³): 8.6
# Total magnetization (μB per formula unit): 0.00
data_TaInAs2
_chemical_formula_sum 'Ta2 In2 As4'
_cell_length_a 3.6291
_cell_length_b 4.7861
_cell_length_c 9.9242
_cell_angle_alpha 90.00
_cell_angle_beta 90.00
_cell_angle_gamma 90.00
_space_group_name_H-M_alt 'C m m 2'
_space_group_IT_number 35
_space_group_name_Hall 'C 2 -2'
loop_
_atom_site_label
_atom_site_type_symbol
_atom_site_fract_x
_atom_site_fract_y
_atom_site_fract_z
Ta1 Ta 0.0000 0.0000 0.0000
In1 In 0.0000 0.5000 0.2352
As1 As 0.0000 0.0000 0.4628
As2 As 0.0000 0.5000 0.8054

***

# TaInAs2 PBE-GGA relaxed
# Volume (Å³/cell): 154.5
# DFT total energy (eV per atom): -5.670
# ΔH_f (0 K) (eV/atom): 0.303
# Calculated density (g cm⁻³): 9.6
# Total magnetization (μB per formula unit): 0.00
data_TaInAs2
_chemical_formula_sum 'Ta2 In2 As4'
_cell_length_a 3.9668
_cell_length_b 3.9668
_cell_length_c 9.8211
_cell_angle_alpha 90.00
_cell_angle_beta 90.00
_cell_angle_gamma 90.00
_space_group_name_H-M_alt 'I -4 m 2'
_space_group_IT_number 119
_space_group_name_Hall 'I -4 -2'
loop_
_atom_site_label
_atom_site_type_symbol
_atom_site_fract_x
_atom_site_fract_y
_atom_site_fract_z
Ta1 Ta 0.0000 0.0000 0.0000
In1 In 0.0000 0.5000 0.2500
As1 As 0.0000 0.0000 0.5000
As2 As 0.0000 0.5000 0.7500

***

# TaInAs PBE-GGA relaxed
# Volume (Å³/cell): 117.2
# DFT total energy (eV per atom): -6.519
# ΔH_f (0 K) (eV/atom): -0.106
# Calculated density (g cm⁻³): 10.5
# Excess energy over the best structure of this formula in the dataset (eV per atom): 0.000
# Total magnetization (μB per formula unit): 0.00
data_TaInAs
_chemical_formula_sum 'Ta2 In2 As2'
_cell_length_a 3.4000
_cell_length_b 3.4000
_cell_length_c 10.1374
_cell_angle_alpha 90.00
_cell_angle_beta 90.00
_cell_angle_gamma 90.00
_space_group_name_H-M_alt 'I 4 m m'
_space_group_IT_number 107
_space_group_name_Hall 'I 4 -2'
loop_
_atom_site_label
_atom_site_type_symbol
_atom_site_fract_x
_atom_site_fract_y
_atom_site_fract_z
Ta1 Ta 0.0000 0.0000 0.0000
In1 In 0.0000 0.0000 0.3054
As1 As 0.0000 0.0000 0.6085

***

> Number 1 is which compound?

TaInAs2

***

> Among the records above, which one has the highest DFT total energy?

TaInAs3

***

> The lowest DFT total energy belongs to which entry?

Ta4InAs

***

> Which formula does entry 6 have?

Ta2InAs2